(1)
DFT (PBE) results for a relaxed structure of BeGeIrO6.

CIF file:
```
data_BeGeIrO6
_chemical_formula_sum 'Be2 Ge2 Ir2 O12'
_symmetry_space_group_name_H-M 'P -3 1 c'
_symmetry_Int_Tables_number 163
_symmetry_space_group_name_Hall '-P 3 2c'
_cell_length_a 4.7924
_cell_length_b 4.7924
_cell_length_c 8.3940
_cell_angle_alpha 90.00
_cell_angle_beta 90.00
_cell_angle_gamma 120.00
loop_
_atom_site_label
_atom_site_type_symbol
_atom_site_fract_x
_atom_site_fract_y
_atom_site_fract_z
_atom_site_occupancy
Be1 Be 0.3333 0.6667 0.2500 1
Ge1 Ge 0.0000 0.0000 0.0000 1
Ir1 Ir 0.3333 0.6667 0.7500 1
O1 O 0.0180 0.3474 0.1279 1
```

Output
Uncorrected formation energy in meV/atom: -1186


(2)
DFT (PBE) results for a relaxed structure of CoSbOs2.

CIF file:
```
data_CoSbOs2
_chemical_formula_sum 'Co4 Sb4 Os8'
_symmetry_space_group_name_H-M 'F -4 3 m'
_symmetry_Int_Tables_number 216
_symmetry_space_group_name_Hall 'F -4 2 3'
_cell_length_a 6.2576
_cell_length_b 6.2576
_cell_length_c 6.2576
_cell_angle_alpha 90.00
_cell_angle_beta 90.00
_cell_angle_gamma 90.00
loop_
_atom_site_label
_atom_site_type_symbol
_atom_site_fract_x
_atom_site_fract_y
_atom_site_fract_z
_atom_site_occupancy
Co1 Co 0.0000 0.0000 0.0000 1
Sb1 Sb 0.2500 0.2500 0.7500 1
Os1 Os 0.0000 0.0000 0.5000 1
Os2 Os 0.2500 0.2500 0.2500 1
```

Output
Excess energy over the best structure of this formula in the dataset in meV per atom: 240.3
Uncorrected formation energy in meV/atom: 685


(3)
DFT (PBE) results for a relaxed structure of MgSc2NiC.

CIF file:
```
data_MgSc2NiC
_chemical_formula_sum 'Mg1 Sc2 Ni1 C1'
_symmetry_space_group_name_H-M 'P 4/m m m'
_symmetry_Int_Tables_number 123
_symmetry_space_group_name_Hall '-P 4 2'
_cell_length_a 4.6021
_cell_length_b 4.6021
_cell_length_c 3.8116
_cell_angle_alpha 90.00
_cell_angle_beta 90.00
_cell_angle_gamma 90.00
loop_
_atom_site_label
_atom_site_type_symbol
_atom_site_fract_x
_atom_site_fract_y
_atom_site_fract_z
_atom_site_occupancy
Mg1 Mg 0.0000 0.0000 0.0000 1
Sc1 Sc 0.0000 0.5000 0.5000 1
Ni1 Ni 0.5000 0.5000 0.0000 1
C1 C 0.5000 0.5000 0.5000 1
```

Output
Energy relative to the elements in eV per atom: -0.245
Excess energy over the best structure of this formula in the dataset in meV per atom: 0.0


(4)
DFT (PBE) results for a relaxed structure of Y2SiH.

CIF file:
```
data_Y2SiH
_chemical_formula_sum 'Y8 Si4 H4'
_symmetry_space_group_name_H-M 'F m -3 m'
_symmetry_Int_Tables_number 225
_symmetry_space_group_name_Hall '-F 4 2 3'
_cell_length_a 6.8111
_cell_length_b 6.8111
_cell_length_c 6.8111
_cell_angle_alpha 90.00
_cell_angle_beta 90.00
_cell_angle_gamma 90.00
loop_
_atom_site_label
_atom_site_type_symbol
_atom_site_fract_x
_atom_site_fract_y
_atom_site_fract_z
_atom_site_occupancy
Y1 Y 0.2500 0.2500 0.2500 1
Si1 Si 0.0000 0.0000 0.0000 1
H1 H 0.0000 0.0000 0.5000 1
```

Output
Excess energy over the best structure of this formula in the dataset in meV per atom: 115.7


(5)
DFT (PBE) results for a relaxed structure of AlCr.

CIF file:
```
data_AlCr
_chemical_formula_sum 'Al4 Cr4'
_symmetry_space_group_name_H-M 'F -4 3 m'
_symmetry_Int_Tables_number 216
_symmetry_space_group_name_Hall 'F -4 2 3'
_cell_length_a 5.9727
_cell_length_b 5.9727
_cell_length_c 5.9727
_cell_angle_alpha 90.00
_cell_angle_beta 90.00
_cell_angle_gamma 90.00
loop_
_atom_site_label
_atom_site_type_symbol
_atom_site_fract_x
_atom_site_fract_y
_atom_site_fract_z
_atom_site_occupancy
Al1 Al 0.0000 0.0000 0.0000 1
Cr1 Cr 0.2500 0.2500 0.2500 1
```

Output
Energy relative to the elements in eV per atom: 1.475


(6)
DFT (PBE) results for a relaxed structure of Pr8Pt3CI3.

CIF file:
```
data_Pr8Pt3CI3
_chemical_formula_sum 'Pr16 Pt6 C2 I6'
_symmetry_space_group_name_H-M 'C 1 2/m 1'
_symmetry_Int_Tables_number 12
_symmetry_space_group_name_Hall '-C 2y'
_cell_length_a 14.6485
_cell_length_b 8.4639
_cell_length_c 9.4105
_cell_angle_alpha 90.00
_cell_angle_beta 121.30
_cell_angle_gamma 90.00
loop_
_atom_site_label
_atom_site_type_symbol
_atom_site_fract_x
_atom_site_fract_y
_atom_site_fract_z
_atom_site_occupancy
Pr1 Pr 0.0163 0.2277 0.3207 1
Pr2 Pr 0.2118 0.0000 0.6797 1
Pr3 Pr 0.2295 0.5000 0.6882 1
Pt1 Pt 0.0000 0.5000 0.5000 1
Pt2 Pt 0.2500 0.2500 0.5000 1
C1 C 0.0000 0.0000 0.5000 1
I1 I 0.0000 0.0000 0.0000 1
I2 I 0.2500 0.2500 0.0000 1
```

Output
Uncorrected formation energy in meV/atom: -822


(7)
DFT (PBE) results for a relaxed structure of HoZnAu4.

CIF file:
```
data_HoZnAu4
_chemical_formula_sum 'Ho1 Zn1 Au4'
_symmetry_space_group_name_H-M 'P 1 2/m 1'
_symmetry_Int_Tables_number 10
_symmetry_space_group_name_Hall '-P 2y'
_cell_length_a 3.6048
_cell_length_b 3.6066
_cell_length_c 8.9462
_cell_angle_alpha 90.00
_cell_angle_beta 93.95
_cell_angle_gamma 90.00
loop_
_atom_site_label
_atom_site_type_symbol
_atom_site_fract_x
_atom_site_fract_y
_atom_site_fract_z
_atom_site_occupancy
Ho1 Ho 0.0000 0.0000 0.0000 1
Zn1 Zn 0.5000 0.5000 0.5000 1
Au1 Au 0.0520 0.0000 0.3461 1
Au2 Au 0.4695 0.5000 0.8202 1
```

Output
Energy relative to the elements in eV per atom: -0.457
Excess energy over the best structure of this formula in the dataset in meV per atom: 0.0


(8)
DFT (PBE) results for a relaxed structure of ScMnMo2.

CIF file:
```
data_ScMnMo2
_chemical_formula_sum 'Sc2 Mn2 Mo4'
_symmetry_space_group_name_H-M 'C m m m'
_symmetry_Int_Tables_number 65
_symmetry_space_group_name_Hall '-C 2 2'
_cell_length_a 3.2763
_cell_length_b 4.4344
_cell_length_c 8.7501
_cell_angle_alpha 90.00
_cell_angle_beta 90.00
_cell_angle_gamma 90.00
loop_
_atom_site_label
_atom_site_type_symbol
_atom_site_fract_x
_atom_site_fract_y
_atom_site_fract_z
_atom_site_occupancy
Sc1 Sc 0.0000 0.0000 0.0000 1
Mn1 Mn 0.0000 0.0000 0.5000 1
Mo1 Mo 0.0000 0.5000 0.2780 1
```

Output
Energy relative to the elements in eV per atom: 0.198
Excess energy over the best structure of this formula in the dataset in meV per atom: 147.2


(9)
DFT (PBE) results for a relaxed structure of DyB4W2.

CIF file:
```
data_DyB4W2
_chemical_formula_sum 'Dy4 B16 W8'
_symmetry_space_group_name_H-M 'C 1 2/c 1'
_symmetry_Int_Tables_number 15
_symmetry_space_group_name_Hall '-C 2yc'
_cell_length_a 13.1384
_cell_length_b 4.5082
_cell_length_c 5.8517
_cell_angle_alpha 90.00
_cell_angle_beta 102.78
_cell_angle_gamma 90.00
loop_
_atom_site_label
_atom_site_type_symbol
_atom_site_fract_x
_atom_site_fract_y
_atom_site_fract_z
_atom_site_occupancy
Dy1 Dy 0.0000 0.2313 0.2500 1
B1 B 0.1184 0.2920 0.8114 1
B2 B 0.1469 0.4985 0.5754 1
W1 W 0.2160 0.0067 0.6061 1
```

Output
Energy relative to the elements in eV per atom: -0.310


(10)
DFT (PBE) results for a relaxed structure of Ho7TmTl5.

CIF file:
```
data_Ho7TmTl5
_chemical_formula_sum 'Ho14 Tm2 Tl10'
_symmetry_space_group_name_H-M 'I m m 2'
_symmetry_Int_Tables_number 44
_symmetry_space_group_name_Hall 'I 2 -2'
_cell_length_a 6.4957
_cell_length_b 10.8288
_cell_length_c 10.7726
_cell_angle_alpha 90.00
_cell_angle_beta 90.00
_cell_angle_gamma 90.00
loop_
_atom_site_label
_atom_site_type_symbol
_atom_site_fract_x
_atom_site_fract_y
_atom_site_fract_z
_atom_site_occupancy
Ho1 Ho 0.0000 0.0000 0.0000 1
Ho2 Ho 0.0000 0.0000 0.3215 1
Ho3 Ho 0.0000 0.3110 0.1167 1
Ho4 Ho 0.0000 0.3396 0.6328 1
Ho5 Ho 0.0000 0.5000 0.3593 1
Tm1 Tm 0.0000 0.0000 0.6640 1
Tl1 Tl 0.0000 0.5000 0.8895 1
Tl2 Tl 0.2484 0.2372 0.8731 1
```

Output
Energy relative to the elements in eV per atom: -0.124


(11)
DFT (PBE) results for a relaxed structure of Ca2MgCr.

CIF file:
```
data_Ca2MgCr
_chemical_formula_sum 'Ca2 Mg1 Cr1'
_symmetry_space_group_name_H-M 'P 4/m m m'
_symmetry_Int_Tables_number 123
_symmetry_space_group_name_Hall '-P 4 2'
_cell_length_a 3.8659
_cell_length_b 3.8659
_cell_length_c 7.7813
_cell_angle_alpha 90.00
_cell_angle_beta 90.00
_cell_angle_gamma 90.00
loop_
_atom_site_label
_atom_site_type_symbol
_atom_site_fract_x
_atom_site_fract_y
_atom_site_fract_z
_atom_site_occupancy
Ca1 Ca 0.0000 0.0000 0.2376 1
Mg1 Mg 0.5000 0.5000 0.5000 1
Cr1 Cr 0.5000 0.5000 0.0000 1
```

Output
Energy relative to the elements in eV per atom: 0.313


(12)
DFT (PBE) results for a relaxed structure of TlPdF3.

CIF file:
```
data_TlPdF3
_chemical_formula_sum 'Tl2 Pd2 F6'
_symmetry_space_group_name_H-M 'P 1 21/m 1'
_symmetry_Int_Tables_number 11
_symmetry_space_group_name_Hall '-P 2yb'
_cell_length_a 5.2422
_cell_length_b 5.6688
_cell_length_c 5.4396
_cell_angle_alpha 90.00
_cell_angle_beta 105.77
_cell_angle_gamma 90.00
loop_
_atom_site_label
_atom_site_type_symbol
_atom_site_fract_x
_atom_site_fract_y
_atom_site_fract_z
_atom_site_occupancy
Tl1 Tl 0.2079 0.2500 0.4073 1
Pd1 Pd 0.2442 0.7500 0.9649 1
F1 F 0.0491 0.7500 0.2445 1
F2 F 0.4391 0.5092 0.7346 1
```

Output
Excess energy over the best structure of this formula in the dataset in meV per atom: 195.7
Uncorrected formation energy in meV/atom: -1245